Crystalline GeP2WO at its relaxed geometry. Source: Alexandria, functional PBE+U.

Computed properties:
The value obtained for the excess energy over the best structure of this formula in the dataset is 0.000 eV/atom. The electronic total energy comes out at -5.516 eV/atom. The calculation puts the density of states at the Fermi level at 0.3360 states/eV/atom.

Cell lengths 4.8749, 4.8749, 3.8174 Å; angles 90.00, 90.00, 90.00 degrees
Closest atoms and distances in Å follow each position.
Space group P4/mmm (No. 123)
Inequivalent atoms, fractional coordinates:
Ge  0.0000  0.0000  0.0000 x1  8 P 3.10, 4 O 3.45
P  0.0000  0.5000  0.5000 x2  2 W 2.44
W  0.5000  0.5000  0.5000 x1  2 O 1.91
O  0.5000  0.5000  0.0000 x1  2 W 1.91